Material: La2RhBr
Method: DFT, GGA-PBE
State: optimized geometry

Cell lengths 3.539, 3.539, 8.351 Å; angles 90.00, 90.00, 90.00 degrees
Element x y z (fractional)
1 Rh 0.500 0.500 0.000
2 Br 0.500 0.500 0.500
3 La 0.000 0.000 0.787
4 La 0.000 0.000 0.213

Computed properties:
Its theoretical density is 7.312 g/cm³. As for the space group: P4/mmm (123). The final energy comes out at -5.709 eV/atom. The calculation puts the relative energy among the computed polymorphs at 0.199 eV per atom. Its crystal system is tetragonal. The calculation puts the raw formation energy at -989 meV per atom.